Record 1
# CdHg4Te | Alexandria | PBE-GGA | optimized geometry
data_CdHg4Te
_chemical_formula_sum 'Cd4 Hg16 Te4'
_cell_length_a 8.7461
_cell_length_b 8.7461
_cell_length_c 8.7461
_cell_angle_alpha 90.00
_cell_angle_beta 90.00
_cell_angle_gamma 90.00
_space_group_name_H-M_alt 'F -4 3 m'
_space_group_IT_number 216
_space_group_name_Hall 'F -4 2 3'
loop_
_atom_site_label
_atom_site_type_symbol
_atom_site_fract_x
_atom_site_fract_y
_atom_site_fract_z
Cd1 Cd 0.0000 0.0000 0.0000
Hg1 Hg 0.1248 0.1248 0.6248
Te1 Te 0.2500 0.2500 0.2500
# volume: 669 Å³/cell
# DOS at the Fermi energy: 0.775 states/eV per atom
# E_form (uncorrected): 121 kJ/mol of formula units
# total energy: -0.6683 eV/atom


Record 2
# LiPm6Pd5 | Alexandria | PBE-GGA | optimized geometry
data_LiPm6Pd5
_chemical_formula_sum 'Li2 Pm12 Pd10'
_cell_length_a 7.6243
_cell_length_b 11.6928
_cell_length_c 7.2940
_cell_angle_alpha 90.00
_cell_angle_beta 104.66
_cell_angle_gamma 90.00
_space_group_name_H-M_alt 'C 1 2/m 1'
_space_group_IT_number 12
loop_
_space_group_symop_operation_xyz
'x,y,z'
'-x,-y,-z'
'-x,y,-z'
'x,-y,z'
'x+1/2,y+1/2,z'
'-x+1/2,-y+1/2,-z'
'-x+1/2,y+1/2,-z'
'x+1/2,-y+1/2,z'
loop_
_atom_site_label
_atom_site_type_symbol
_atom_site_fract_x
_atom_site_fract_y
_atom_site_fract_z
Li1 Li 0.0000 0.0000 0.0000
Pm1 Pm 0.1988 0.5000 0.2196
Pm2 Pm 0.2134 0.3174 0.7176
Pd1 Pd 0.0000 0.1262 0.5000
Pd2 Pd 0.0000 0.3042 0.0000
Pd3 Pd 0.0000 0.5000 0.5000
# volume: 629 Å³/cell
# DOS at the Fermi energy: 0.627 states/eV per atom
# formation energy from the elements: -0.543 eV per atom
# total energy: -5.2410 eV/atom


Record 3
# FeTc2W | Alexandria | PBE-GGA | optimized geometry
data_FeTc2W
_chemical_formula_sum 'Fe2 Tc4 W2'
_cell_length_a 3.1141
_cell_length_b 4.2741
_cell_length_c 8.6547
_cell_angle_alpha 90.00
_cell_angle_beta 90.00
_cell_angle_gamma 90.00
_space_group_name_H-M_alt 'I m m 2'
_space_group_IT_number 44
loop_
_space_group_symop_operation_xyz
'x,y,z'
'-x,-y,z'
'-x,y,z'
'x,-y,z'
'x+1/2,y+1/2,z+1/2'
'-x+1/2,-y+1/2,z+1/2'
'-x+1/2,y+1/2,z+1/2'
'x+1/2,-y+1/2,z+1/2'
loop_
_atom_site_label
_atom_site_type_symbol
_atom_site_fract_x
_atom_site_fract_y
_atom_site_fract_z
Fe1 Fe 0.0000 0.0000 0.0000
Tc1 Tc 0.0000 0.0000 0.5079
Tc2 Tc 0.0000 0.5000 0.7500
W1 W 0.0000 0.5000 0.2584
# volume: 115 Å³/cell
# DOS at the Fermi energy: 0.904 states/eV per atom
# formation energy from the elements: 0.111 eV per atom
# total energy: -10.4256 eV/atom


Record 4
# ThNiGeN | Alexandria | PBE-GGA | optimized geometry
data_ThNiGeN
_chemical_formula_sum 'Th2 Ni2 Ge2 N2'
_cell_length_a 3.8587
_cell_length_b 3.8587
_cell_length_c 8.4376
_cell_angle_alpha 90.00
_cell_angle_beta 90.00
_cell_angle_gamma 90.00
_space_group_name_H-M_alt 'P 4/n m m'
_space_group_IT_number 129
loop_
_space_group_symop_operation_xyz
'x,y,z'
'-x,-y,-z'
'-y+1/2,x,z'
'y+1/2,-x,-z'
'-x+1/2,-y+1/2,z'
'x+1/2,y+1/2,-z'
'y,-x+1/2,z'
'-y,x+1/2,-z'
'x+1/2,-y,-z'
'-x+1/2,y,z'
'-y,-x,-z'
'y,x,z'
'-x,y+1/2,-z'
'x,-y+1/2,z'
'y+1/2,x+1/2,-z'
'-y+1/2,-x+1/2,z'
loop_
_atom_site_label
_atom_site_type_symbol
_atom_site_fract_x
_atom_site_fract_y
_atom_site_fract_z
Th1 Th 0.2500 0.2500 0.1634
Ni1 Ni 0.2500 0.7500 0.5000
Ge1 Ge 0.2500 0.2500 0.6495
N1 N 0.2500 0.2500 0.8853
# volume: 126 Å³/cell
# DOS at the Fermi energy: 0.499 states/eV per atom
# E_form (uncorrected): -345 kJ/mol of formula units
# total energy: -7.4303 eV/atom


Record 5
# Cd2Cu5Au5 | Alexandria | PBE-GGA | optimized geometry
data_Cd2Cu5Au5
_chemical_formula_sum 'Cd4 Cu10 Au10'
_cell_length_a 12.5148
_cell_length_b 3.6508
_cell_length_c 9.5815
_cell_angle_alpha 90.00
_cell_angle_beta 117.73
_cell_angle_gamma 90.00
_space_group_name_H-M_alt 'C 1 2/m 1'
_space_group_IT_number 12
loop_
_space_group_symop_operation_xyz
'x,y,z'
'-x,-y,-z'
'-x,y,-z'
'x,-y,z'
'x+1/2,y+1/2,z'
'-x+1/2,-y+1/2,-z'
'-x+1/2,y+1/2,-z'
'x+1/2,-y+1/2,z'
loop_
_atom_site_label
_atom_site_type_symbol
_atom_site_fract_x
_atom_site_fract_y
_atom_site_fract_z
Cd1 Cd 0.0911 0.0000 0.2558
Cu1 Cu 0.0000 0.0000 0.5000
Cu2 Cu 0.1740 0.0000 0.0032
Cu3 Cu 0.2476 0.5000 0.2229
Au1 Au 0.0000 0.5000 0.0000
Au2 Au 0.0921 0.5000 0.7617
Au3 Au 0.1635 0.5000 0.5201
# volume: 387 Å³/cell
# DOS at the Fermi energy: 0.369 states/eV per atom
# formation energy from the elements: -0.042 eV per atom
# total energy: -3.2668 eV/atom


Record 6
# CsInSnHg2 | Alexandria | PBE-GGA | optimized geometry
data_CsInSnHg2
_chemical_formula_sum 'Cs1 In1 Sn1 Hg2'
_cell_length_a 6.0375
_cell_length_b 6.0375
_cell_length_c 5.8293
_cell_angle_alpha 90.00
_cell_angle_beta 90.00
_cell_angle_gamma 90.00
_space_group_name_H-M_alt 'P 4/m m m'
_space_group_IT_number 123
_space_group_name_Hall '-P 4 2'
loop_
_atom_site_label
_atom_site_type_symbol
_atom_site_fract_x
_atom_site_fract_y
_atom_site_fract_z
Cs1 Cs 0.0000 0.0000 0.0000
In1 In 0.5000 0.5000 0.0000
Sn1 Sn 0.5000 0.5000 0.5000
Hg1 Hg 0.0000 0.5000 0.5000
# volume: 212 Å³/cell
# DOS at the Fermi energy: 0.479 states/eV per atom
# formation energy from the elements: -0.012 eV per atom
# total energy: -1.6519 eV/atom
# excess energy over the best structure of this formula in the dataset: 0.000 eV per atom


- Look up the volume of the sixth one.
  212 Å³/cell


- Among the records above, which one has the highest volume?
  CdHg4Te


- Look up the DOS at the Fermi energy of the sixth one.
  0.479 states/eV per atom


- Number 3 is which compound?
  FeTc2W